[1]
Material: CdIn3Pd
Method: DFT, GGA-PBE
State: relaxed

Cell: 5.213 5.213 5.213 Å, 90.00 90.00 90.00°
Atoms (fractional coordinates):
Cd (0.500, 0.500, 0.500)
Pd (0.000, 0.000, 0.000)
In (0.000, 0.500, 0.000)
In (0.000, 0.000, 0.500)
In (0.500, 0.000, 0.000)

Formation energy from the elements ... -0.071 eV per atom
Space group ... Pm-3m, No. 221
E_tot ... -14.68 eV for the cell shown
Mass density ... 6.60 g cm⁻³

---

[2]
Material: CdIn2Pd
Method: DFT, GGA-PBE
State: relaxed

Cell: 3.234 3.234 8.231 Å, 90.00 90.00 90.00°
Atoms (fractional coordinates):
Cd (0.500, 0.500, 0.500)
Pd (0.500, 0.500, 0.000)
In (0.000, 0.000, 0.786)
In (0.000, 0.000, 0.214)

Formation energy from the elements ... -0.187 eV per atom
Space group ... P4/mmm, No. 123
E_tot ... -12.33 eV for the cell shown
Mass density ... 8.65 g cm⁻³

---

[3]
Material: Cd2InPd
Method: DFT, GGA-PBE
State: relaxed

Cell: 2.995 2.995 11.659 Å, 82.62 82.62 60.00°
Atoms (fractional coordinates):
Cd (0.078, 0.078, 0.765)
Cd (0.922, 0.922, 0.235)
Pd (0.000, 0.000, 0.000)
In (0.500, 0.500, 0.500)

Formation energy from the elements ... 0.129 eV per atom
Space group ... R-3m, No. 166
E_tot ... -9.24 eV for the cell shown
Mass density ... 8.27 g cm⁻³

---

Look up the mass density of the third one. 8.27 g cm⁻³